GGA-PBE DyHo4Al2, optimized geometry; N(E_F) = 7.2 states/eV/f.u.; spin magnetization = 0.00 μB per cell; calculated formation energy = -0.562 eV per formula unit; DFT total energy = -4.42 eV per atom; energy relative to the lowest polymorph listed for this composition = 0.0 meV/atom
1.0
-0.1282 8.7854 -5.4176
0.4375 -3.5238 -5.7248
-5.8889 2.1053 3.5534
Al Ho Dy
4 8 2
direct
0.9989 0.7947 0.4770 Al
0.0011 0.2053 0.5230 Al
0.4989 0.7053 0.5230 Al
0.5011 0.2947 0.4770 Al
0.8389 0.4937 0.9942 Ho
0.7891 0.4959 0.4943 Ho
0.7109 0.9959 0.4943 Ho
0.6611 0.9937 0.9942 Ho
0.3389 0.0063 0.0058 Ho
0.2891 0.0041 0.5057 Ho
0.2109 0.5041 0.5057 Ho
0.1611 0.5063 0.0058 Ho
0.0000 0.0000 0.0000 Dy
0.5000 0.5000 0.0000 Dy